Dy3Ho3Tl | PBE | optimized geometry

Offset from the most stable computed form: 0.000 eV/atom
N(E_F): 19.24 states/eV per cell
Magnetization: 0.40 μB/cell
E_form: -0.064 eV per atom

```
data_Dy3Ho3Tl
_cell_length_a 9.3706
_cell_length_b 9.3706
_cell_length_c 5.5247
_cell_angle_alpha 90.00
_cell_angle_beta 90.00
_cell_angle_gamma 120.00
_symmetry_space_group_name_H-M 'P 63/m'
_symmetry_Int_Tables_number 176
_symmetry_space_group_name_Hall '-P 6c'
loop_
_atom_site_label
_atom_site_fract_x
_atom_site_fract_y
_atom_site_fract_z
_atom_site_occupancy
Dy1 0.1063 0.6275 0.2500 1
Ho1 0.0628 0.8225 0.7500 1
Tl1 0.3333 0.6667 0.7500 1
```

Co3Os | PBE | optimized geometry

N(E_F): 11.85 states/eV per cell
Magnetization: 11.08 μB/cell
E_form: 0.323 eV per atom

```
data_Co3Os
_cell_length_a 2.715
_cell_length_b 4.330
_cell_length_c 8.409
_cell_angle_alpha 90.00
_cell_angle_beta 90.00
_cell_angle_gamma 90.00
_symmetry_space_group_name_H-M 'C m m m'
_symmetry_Int_Tables_number 65
_symmetry_space_group_name_Hall '-C 2 2'
loop_
_atom_site_label
_atom_site_fract_x
_atom_site_fract_y
_atom_site_fract_z
_atom_site_occupancy
Co1 0.000 0.000 0.000 1
Co2 0.000 0.500 0.238 1
Os1 0.000 0.000 0.500 1
```

Hg2BiPbSe | PBE | optimized geometry

ΔE_f (raw): 0.39 eV per atom
N(E_F): 1.54 states/eV per cell
Magnetization: 0.00 μB/cell

```
data_Hg2BiPbSe
_cell_length_a 5.602
_cell_length_b 5.602
_cell_length_c 6.351
_cell_angle_alpha 90.00
_cell_angle_beta 90.00
_cell_angle_gamma 90.00
_symmetry_space_group_name_H-M 'P 4/m m m'
_symmetry_Int_Tables_number 123
_symmetry_space_group_name_Hall '-P 4 2'
loop_
_atom_site_label
_atom_site_fract_x
_atom_site_fract_y
_atom_site_fract_z
_atom_site_occupancy
Hg1 0.000 0.500 0.000 1
Bi1 0.000 0.000 0.000 1
Pb1 0.000 0.000 0.500 1
Se1 0.500 0.500 0.500 1
```

AlGeC3 | PBE | optimized geometry

Offset from the most stable computed form: 0.182 eV/atom
N(E_F): 2.69 states/eV per cell
Magnetization: 0.00 μB/cell
E_form: 2.519 eV per atom

```
data_AlGeC3
_cell_length_a 3.947
_cell_length_b 3.947
_cell_length_c 3.947
_cell_angle_alpha 90.00
_cell_angle_beta 90.00
_cell_angle_gamma 90.00
_symmetry_space_group_name_H-M 'P m -3 m'
_symmetry_Int_Tables_number 221
_symmetry_space_group_name_Hall '-P 4 2 3'
loop_
_atom_site_label
_atom_site_fract_x
_atom_site_fract_y
_atom_site_fract_z
_atom_site_occupancy
Al1 0.000 0.000 0.000 1
Ge1 0.500 0.500 0.500 1
C1 0.000 0.500 0.500 1
```

Na2Tl3Bi3 | PBE | optimized geometry

N(E_F): 4.41 states/eV per cell
Magnetization: 0.00 μB/cell
E_form: -0.152 eV per atom

```
data_Na2Tl3Bi3
_cell_length_a 4.849
_cell_length_b 4.904
_cell_length_c 10.165
_cell_angle_alpha 90.00
_cell_angle_beta 90.00
_cell_angle_gamma 90.00
_symmetry_space_group_name_H-M 'P m m m'
_symmetry_Int_Tables_number 47
loop_
_symmetry_equiv_pos_as_xyz
'x,y,z'
'-x,-y,-z'
'-x,-y,z'
'x,y,-z'
'x,-y,-z'
'-x,y,z'
'-x,y,-z'
'x,-y,z'
loop_
_atom_site_label
_atom_site_fract_x
_atom_site_fract_y
_atom_site_fract_z
_atom_site_occupancy
Na1 0.000 0.000 0.248 1
Tl1 0.000 0.500 0.000 1
Tl2 0.500 0.500 0.246 1
Bi1 0.000 0.500 0.500 1
Bi2 0.500 0.000 0.000 1
Bi3 0.500 0.000 0.500 1
```

CdSBrN2 | PBE | optimized geometry

Offset from the most stable computed form: 0.004 eV/atom
ΔE_f (raw): 1.82 eV per atom
N(E_F): 2.03 states/eV per cell
Magnetization: 0.78 μB/cell

```
data_CdSBrN2
_cell_length_a 3.809
_cell_length_b 3.809
_cell_length_c 7.526
_cell_angle_alpha 90.00
_cell_angle_beta 90.00
_cell_angle_gamma 90.00
_symmetry_space_group_name_H-M 'P 4/m m m'
_symmetry_Int_Tables_number 123
_symmetry_space_group_name_Hall '-P 4 2'
loop_
_atom_site_label
_atom_site_fract_x
_atom_site_fract_y
_atom_site_fract_z
_atom_site_occupancy
Cd1 0.000 0.000 0.000 1
S1 0.500 0.500 0.000 1
Br1 0.500 0.500 0.500 1
N1 0.000 0.500 0.500 1
```

Pm3MgCd8 | PBE | optimized geometry

N(E_F): 19.31 states/eV per cell
Magnetization: 0.00 μB/cell
E_form: -0.239 eV per atom

```
data_Pm3MgCd8
_cell_length_a 5.9556
_cell_length_b 5.9556
_cell_length_c 29.0487
_cell_angle_alpha 90.00
_cell_angle_beta 90.00
_cell_angle_gamma 120.00
_symmetry_space_group_name_H-M 'R 3 m'
_symmetry_Int_Tables_number 160
_symmetry_space_group_name_Hall 'R 3 -2"'
loop_
_atom_site_label
_atom_site_fract_x
_atom_site_fract_y
_atom_site_fract_z
_atom_site_occupancy
Pm1 0.0000 0.0000 0.0000 1
Pm2 0.0000 0.0000 0.1251 1
Pm3 0.0000 0.0000 0.6188 1
Mg1 0.0000 0.0000 0.4953 1
Cd1 0.0000 0.0000 0.3109 1
Cd2 0.0000 0.0000 0.8103 1
Cd3 0.1672 0.3343 0.3940 1
Cd4 0.1674 0.3347 0.8940 1
```

Sc5GaS4 | PBE | optimized geometry

ΔE_f (raw): -1.61 eV per atom
N(E_F): 7.74 states/eV per cell
Magnetization: 0.00 μB/cell

```
data_Sc5GaS4
_cell_length_a 8.360
_cell_length_b 8.360
_cell_length_c 5.280
_cell_angle_alpha 90.00
_cell_angle_beta 90.00
_cell_angle_gamma 90.00
_symmetry_space_group_name_H-M 'I 4/m'
_symmetry_Int_Tables_number 87
_symmetry_space_group_name_Hall '-I 4'
loop_
_atom_site_label
_atom_site_fract_x
_atom_site_fract_y
_atom_site_fract_z
_atom_site_occupancy
Sc1 0.000 0.000 0.000 1
Sc2 0.099 0.302 0.500 1
Ga1 0.000 0.000 0.500 1
S1 0.100 0.301 0.000 1
```

Copy entry 1 word for word.
Dy3Ho3Tl | PBE | optimized geometry

Offset from the most stable computed form: 0.000 eV/atom
N(E_F): 19.24 states/eV per cell
Magnetization: 0.40 μB/cell
E_form: -0.064 eV per atom

```
data_Dy3Ho3Tl
_cell_length_a 9.3706
_cell_length_b 9.3706
_cell_length_c 5.5247
_cell_angle_alpha 90.00
_cell_angle_beta 90.00
_cell_angle_gamma 120.00
_symmetry_space_group_name_H-M 'P 63/m'
_symmetry_Int_Tables_number 176
_symmetry_space_group_name_Hall '-P 6c'
loop_
_atom_site_label
_atom_site_fract_x
_atom_site_fract_y
_atom_site_fract_z
_atom_site_occupancy
Dy1 0.1063 0.6275 0.2500 1
Ho1 0.0628 0.8225 0.7500 1
Tl1 0.3333 0.6667 0.7500 1
```